Density functional theory data (PBE-GGA) for an optimized crystal structure of CaPm3Nd2Te6.

Output
- volume (A^3/atom) = 31.87
- N(E_F) (states/eV/f.u.) = 6.038
- ΔE_f (raw) (eV per atom) = -1.45
- VASP energy (eV per atom) = -5.17

a = 10.029 Å, b = 10.029 Å, c = 9.000 Å
α = 103.04°, β = 103.04°, γ = 25.74°
Atoms (fractional coordinates):
Ca  0.000  0.000  0.000
Pm  0.000  0.000  0.500
Pm  0.331  0.331  0.172
Pm  0.669  0.669  0.828
Nd  0.329  0.329  0.659
Nd  0.671  0.671  0.341
Te  0.164  0.164  0.079
Te  0.164  0.164  0.584
Te  0.500  0.500  0.247
Te  0.500  0.500  0.753
Te  0.836  0.836  0.416
Te  0.836  0.836  0.921